# 1
VASP calculation (GGA-PBE) on a relaxed structure of SiGe2Ru.

Values from the calculation:
The value obtained for the total magnetic moment is 0.00 μB per formula unit. As for the formation energy (no corrections): 386 meV per atom.

a b c (Å): 6.8485 6.8485 6.8485
angles (deg): 131.83 131.83 70.50
With the nearest neighbours (Å) after each atom.
Positions (direct):
1 Si 0.0000 0.0000 0.0000  4 Ge 2.45
2 Si 0.7500 0.2500 0.5000  4 Ge 2.45
3 Ge 0.1327 0.6250 0.0077  2 Ru 2.40, 2 Si 2.45
4 Ge 0.3750 0.3827 0.5077  2 Ru 2.40, 2 Si 2.45
5 Ge 0.6173 0.1250 0.9923  2 Ru 2.40, 2 Si 2.45
6 Ge 0.8750 0.8673 0.4923  2 Ru 2.40, 2 Si 2.45
7 Ru 0.2500 0.7500 0.5000  4 Ge 2.40
8 Ru 0.5000 0.5000 0.0000  4 Ge 2.40

---

# 2
VASP calculation (GGA-PBE) on a relaxed structure of YAl3Ga.

Values from the calculation:
The calculation puts the formation energy at 258 meV per atom. The calculation puts the energy above the most stable polymorph in this dataset at 150 meV/atom. The value obtained for the total magnetic moment is 0.00 μB per formula unit.

a b c (Å): 4.8672 4.8672 4.8672
angles (deg): 90.00 90.00 90.00
With the nearest neighbours (Å) after each atom.
Positions (direct):
1 Y 0.0000 0.0000 0.0000  12 Al 3.44
2 Al 0.0000 0.5000 0.5000  2 Ga 2.43
3 Al 0.5000 0.0000 0.5000  2 Ga 2.43
4 Al 0.5000 0.5000 0.0000  2 Ga 2.43
5 Ga 0.5000 0.5000 0.5000  6 Al 2.43

---

# 3
VASP calculation (GGA-PBE) on a relaxed structure of SrCrMo2.

Values from the calculation:
The calculation puts the formation energy at 705 meV per atom. The calculation puts the energy above the most stable polymorph in this dataset at 40 meV/atom. The value obtained for the total magnetic moment is 0.00 μB per formula unit.

a b c (Å): 3.0691 3.6840 7.3870
angles (deg): 90.00 97.63 90.00
With the nearest neighbours (Å) after each atom.
Positions (direct):
1 Sr 0.0000 0.0000 0.0000  2 Sr 3.07
2 Cr 0.0000 0.0000 0.5000  4 Mo 2.45
3 Mo 0.4216 0.5000 0.6553  1 Mo 2.41, 2 Cr 2.45
4 Mo 0.5784 0.5000 0.3447  1 Mo 2.41, 2 Cr 2.45

---

# 4
VASP calculation (GGA-PBE) on a relaxed structure of MgTcAg.

Values from the calculation:
The calculation puts the formation energy at 416 meV per atom. The calculation puts the energy above the most stable polymorph in this dataset at 170 meV/atom. The value obtained for the total magnetic moment is 0.75 μB per formula unit.

a b c (Å): 5.0895 5.0895 5.0895
angles (deg): 149.26 131.05 58.92
With the nearest neighbours (Å) after each atom.
Positions (direct):
1 Mg 0.0000 0.0000 0.0000  2 Mg 2.70, 5 Tc 2.90-2.96, 5 Ag 2.91-2.96
2 Tc 0.6658 0.6658 0.0000  2 Tc 2.70, 5 Mg 2.90-2.96, 5 Ag 2.91-2.94
3 Ag 0.3336 0.3336 0.0000  2 Ag 2.70, 5 Mg 2.91-2.96, 5 Tc 2.91-2.94

---

# 5
VASP calculation (GGA-PBE) on a relaxed structure of La2SnSb3Pd4.

Values from the calculation:
The value obtained for the total magnetic moment is 0.00 μB per formula unit. As for the formation energy (no corrections): -891 meV per atom.

a b c (Å): 4.5824 4.5824 11.0154
angles (deg): 90.00 90.00 90.00
With the nearest neighbours (Å) after each atom.
Positions (direct):
1 La 0.0000 0.5000 0.2378  6 Sb 3.45-3.69, 8 Pd 3.48-3.54, 2 Sn 3.69
2 La 0.5000 0.0000 0.7622  6 Sb 3.45-3.69, 8 Pd 3.48-3.54, 2 Sn 3.69
3 Sn 0.0000 0.0000 0.5000  4 Pd 2.72
4 Sb 0.0000 0.5000 0.8699  5 Pd 2.61-2.70
5 Sb 0.5000 0.0000 0.1301  5 Pd 2.61-2.70
6 Sb 0.5000 0.5000 0.5000  4 Pd 2.72
7 Pd 0.0000 0.0000 0.0000  4 Sb 2.70
8 Pd 0.0000 0.5000 0.6328  3 Sb 2.61-2.72, 2 Sn 2.72
9 Pd 0.5000 0.0000 0.3672  3 Sb 2.61-2.72, 2 Sn 2.72
10 Pd 0.5000 0.5000 0.0000  4 Sb 2.70

---

# 6
VASP calculation (GGA-PBE) on a relaxed structure of RbPr2Gd.

Values from the calculation:
The calculation puts the formation energy at 237 meV per atom. The value obtained for the total magnetic moment is 6.96 μB per formula unit.

a b c (Å): 13.8120 13.8120 13.8120
angles (deg): 15.49 15.49 15.49
With the nearest neighbours (Å) after each atom.
Positions (direct):
1 Rb 0.0000 0.0000 0.0000  6 Rb 3.72, 2 Pr 3.93
2 Pr 0.0961 0.0961 0.0961  3 Gd 3.60, 6 Pr 3.72, 1 Rb 3.93
3 Pr 0.9039 0.9039 0.9039  3 Gd 3.60, 6 Pr 3.72, 1 Rb 3.93
4 Gd 0.5000 0.5000 0.5000  6 Pr 3.60, 6 Gd 3.72

---

# 7
VASP calculation (GGA-PBE) on a relaxed structure of HoAs2.

Values from the calculation:
The calculation puts the formation energy at -801 meV per atom. The value obtained for the total magnetic moment is 0.00 μB per formula unit.

a b c (Å): 9.1766 9.1766 9.1766
angles (deg): 155.56 155.56 34.83
With the nearest neighbours (Å) after each atom.
Positions (direct):
1 Ho 0.1364 0.1364 0.0000  9 As 2.92-3.08
2 Ho 0.8636 0.8636 0.0000  9 As 2.92-3.08
3 As 0.0000 0.5000 0.5000  4 As 2.75
4 As 0.3076 0.3076 0.0000  5 Ho 2.92-3.00
5 As 0.5000 0.0000 0.5000  4 As 2.75
6 As 0.6924 0.6924 0.0000  5 Ho 2.92-3.00

---

# 8
VASP calculation (GGA-PBE) on a relaxed structure of Li2SmSbSe4.

Values from the calculation:
The value obtained for the total magnetic moment is 0.00 μB per formula unit. As for the formation energy (no corrections): -1152 meV per atom.

a b c (Å): 6.9352 4.1145 7.1519
angles (deg): 90.00 110.01 90.00
With the nearest neighbours (Å) after each atom.
Positions (direct):
1 Li 0.0000 0.0000 0.0000  6 Se 2.83-2.84
2 Li 0.0000 0.5000 0.5000  6 Se 2.86-2.89
3 Sm 0.5000 0.0000 0.5000  6 Se 2.92-2.94
4 Sb 0.5000 0.5000 0.0000  6 Se 2.89-2.90
5 Se 0.2417 0.0000 0.7510  3 Li 2.83-2.86, 2 Sb 2.90, 1 Sm 2.94
6 Se 0.2428 0.5000 0.2432  3 Li 2.84-2.89, 1 Sb 2.89, 2 Sm 2.92
7 Se 0.7572 0.5000 0.7568  3 Li 2.84-2.89, 1 Sb 2.89, 2 Sm 2.92
8 Se 0.7583 0.0000 0.2490  3 Li 2.83-2.86, 2 Sb 2.90, 1 Sm 2.94